[1]
DFT (PBE) results for crystalline BaTl2HgAu2 at its relaxed geometry.

Unit cell a=5.1743 b=5.1743 c=7.3768 alpha=90.00 beta=90.00 gamma=120.00
Space group P-3m1 (No. 164)
One atom of each set of equivalent atoms:
Ba (0.0000, 0.0000, 0.0000) (multiplicity 1)
Tl (0.3333, 0.6667, 0.6885) (multiplicity 2)
Hg (0.0000, 0.0000, 0.5000) (multiplicity 1)
Au (0.3333, 0.6667, 0.2511) (multiplicity 2)

Calculated values
- Calculated volume: 28.51 A^3/atom
- E: -2.57 eV/atom
- ΔE_f: -314 meV/atom
- D(E_F): 2.9 states/eV/cell

---

[2]
DFT (PBE) results for crystalline Ba3Tl2Hg2Au4 at its relaxed geometry.

Unit cell a=5.0597 b=5.0597 c=15.4859 alpha=90.00 beta=90.00 gamma=120.00
Space group P-3m1 (No. 164)
One atom of each set of equivalent atoms:
Ba (0.0000, 0.0000, 0.0000) (multiplicity 1)
Ba (0.0000, 0.0000, 0.2739) (multiplicity 2)
Tl (0.3333, 0.6667, 0.5727) (multiplicity 2)
Hg (0.3333, 0.6667, 0.1386) (multiplicity 2)
Au (0.3333, 0.6667, 0.3858) (multiplicity 2)
Au (0.3333, 0.6667, 0.8651) (multiplicity 2)

Calculated values
- Calculated volume: 31.21 A^3/atom
- E: -2.70 eV/atom
- ΔE_f: -501 meV/atom
- D(E_F): 6.8 states/eV/cell

---

[3]
DFT (PBE) results for crystalline BaZnHg2Au at its relaxed geometry.

Unit cell a=5.442 b=5.442 c=5.020 alpha=90.00 beta=90.00 gamma=90.00
Space group P4/mmm (No. 123)
One atom of each set of equivalent atoms:
Ba (0.000, 0.000, 0.000) (multiplicity 1)
Zn (0.500, 0.500, 0.000) (multiplicity 1)
Hg (0.000, 0.500, 0.500) (multiplicity 2)
Au (0.500, 0.500, 0.500) (multiplicity 1)

Calculated values
- Calculated volume: 29.74 A^3/atom
- Excess energy over the best structure of this formula in the dataset: 0.071 eV/atom
- E: -1.64 eV/atom
- ΔE_f: -223 meV/atom
- D(E_F): 3.3 states/eV/cell

---

[4]
DFT (PBE) results for crystalline BaZnHg2Au at its relaxed geometry.

Unit cell a=5.248 b=5.248 c=5.153 alpha=90.00 beta=90.00 gamma=90.00
Space group P4/mmm (No. 123)
One atom of each set of equivalent atoms:
Ba (0.000, 0.000, 0.000) (multiplicity 1)
Zn (0.500, 0.500, 0.500) (multiplicity 1)
Hg (0.000, 0.500, 0.500) (multiplicity 2)
Au (0.500, 0.500, 0.000) (multiplicity 1)

Calculated values
- Calculated volume: 28.39 A^3/atom
- Excess energy over the best structure of this formula in the dataset: 0.000 eV/atom
- E: -1.71 eV/atom
- ΔE_f: -294 meV/atom
- D(E_F): 2.4 states/eV/cell

---

[5]
DFT (PBE) results for crystalline Ba2Zn4HgAu3 at its relaxed geometry.

Unit cell a=4.684 b=4.684 c=10.958 alpha=90.00 beta=90.00 gamma=90.00
Space group P-4m2 (No. 115)
One atom of each set of equivalent atoms:
Ba (0.000, 0.500, 0.246) (multiplicity 2)
Zn (0.000, 0.000, 0.000) (multiplicity 1)
Zn (0.000, 0.500, 0.633) (multiplicity 2)
Zn (0.500, 0.500, 0.000) (multiplicity 1)
Hg (0.000, 0.000, 0.500) (multiplicity 1)
Au (0.000, 0.500, 0.877) (multiplicity 2)
Au (0.500, 0.500, 0.500) (multiplicity 1)

Calculated values
- Calculated volume: 24.04 A^3/atom
- E: -2.35 eV/atom
- ΔE_f: -438 meV/atom
- D(E_F): 5.1 states/eV/cell

---

[6]
DFT (PBE) results for crystalline Ba2ZnHgAu6 at its relaxed geometry.

Unit cell a=13.433 b=5.598 c=9.475 alpha=90.00 beta=132.20 gamma=90.00
Space group C2/m (No. 12)
One atom of each set of equivalent atoms:
Ba (0.244, 0.000, 0.197) (multiplicity 4)
Zn (0.000, 0.000, 0.500) (multiplicity 2)
Hg (0.000, 0.500, 0.000) (multiplicity 2)
Au (0.009, 0.250, 0.274) (multiplicity 8)
Au (0.248, 0.000, 0.599) (multiplicity 4)

Calculated values
- Calculated volume: 26.39 A^3/atom
- E: -2.95 eV/atom
- ΔE_f: -439 meV/atom
- D(E_F): 7.2 states/eV/cell

---

[7]
DFT (PBE) results for crystalline BaHoAu2 at its relaxed geometry.

Unit cell a=4.3214 b=4.3214 c=23.1542 alpha=90.00 beta=90.00 gamma=120.00
Space group R3m (No. 160, hexagonal axes)
One atom of each set of equivalent atoms:
Ba (0.0000, 0.0000, 0.0000) (multiplicity 3)
Ho (0.0000, 0.0000, 0.1707) (multiplicity 3)
Au (0.0000, 0.0000, 0.5696) (multiplicity 3)
Au (0.0000, 0.0000, 0.7677) (multiplicity 3)

Calculated values
- Calculated volume: 31.21 A^3/atom
- Excess energy over the best structure of this formula in the dataset: 0.106 eV/atom
- E: -3.91 eV/atom
- ΔE_f: -647 meV/atom
- D(E_F): 7.7 states/eV/cell

---

[8]
DFT (PBE) results for crystalline BaHoAu2 at its relaxed geometry.

Unit cell a=4.9978 b=4.9978 c=16.8879 alpha=90.00 beta=90.00 gamma=120.00
Space group R-3m (No. 166, hexagonal axes)
One atom of each set of equivalent atoms:
Ba (0.0000, 0.0000, 0.0000) (multiplicity 3)
Ho (0.0000, 0.0000, 0.5000) (multiplicity 3)
Au (0.0000, 0.0000, 0.2053) (multiplicity 6)

Calculated values
- Calculated volume: 30.44 A^3/atom
- Excess energy over the best structure of this formula in the dataset: 0.067 eV/atom
- E: -3.95 eV/atom
- ΔE_f: -686 meV/atom
- D(E_F): 10.0 states/eV/cell

---

[9]
DFT (PBE) results for crystalline BaHoAu2 at its relaxed geometry.

Unit cell a=3.748 b=3.748 c=7.787 alpha=90.00 beta=90.00 gamma=90.00
Space group P4/mmm (No. 123)
One atom of each set of equivalent atoms:
Ba (0.000, 0.000, 0.000) (multiplicity 1)
Ho (0.000, 0.000, 0.500) (multiplicity 1)
Au (0.500, 0.500, 0.304) (multiplicity 2)

Calculated values
- Calculated volume: 27.35 A^3/atom
- Excess energy over the best structure of this formula in the dataset: 0.000 eV/atom
- E: -4.02 eV/atom
- ΔE_f: -753 meV/atom
- D(E_F): 3.3 states/eV/cell

---

[10]
DFT (PBE) results for crystalline BaHoAu2 at its relaxed geometry.

Unit cell a=5.432 b=5.432 c=3.690 alpha=90.00 beta=90.00 gamma=90.00
Space group P4/mmm (No. 123)
One atom of each set of equivalent atoms:
Ba (0.000, 0.000, 0.000) (multiplicity 1)
Ho (0.500, 0.500, 0.000) (multiplicity 1)
Au (0.000, 0.500, 0.500) (multiplicity 2)

Calculated values
- Calculated volume: 27.22 A^3/atom
- Excess energy over the best structure of this formula in the dataset: 0.121 eV/atom
- E: -3.90 eV/atom
- ΔE_f: -632 meV/atom
- D(E_F): 2.2 states/eV/cell

---

[11]
DFT (PBE) results for crystalline Ba2HoInAu6 at its relaxed geometry.

Unit cell a=10.908 b=10.908 c=10.908 alpha=90.00 beta=90.00 gamma=90.00
Space group Fm-3m (No. 225)
One atom of each set of equivalent atoms:
Ba (0.250, 0.250, 0.250) (multiplicity 8)
Ho (0.000, 0.000, 0.000) (multiplicity 4)
In (0.000, 0.000, 0.500) (multiplicity 4)
Au (0.000, 0.000, 0.253) (multiplicity 24)

Calculated values
- Calculated volume: 32.45 A^3/atom
- E: -3.45 eV/atom
- ΔE_f: -371 meV/atom
- D(E_F): 14.2 states/eV/cell

---

[12]
DFT (PBE) results for crystalline BaLi2HoAu4 at its relaxed geometry.

Unit cell a=4.6026 b=4.6026 c=30.4234 alpha=90.00 beta=90.00 gamma=120.00
Space group R-3m (No. 166, hexagonal axes)
One atom of each set of equivalent atoms:
Ba (0.0000, 0.0000, 0.0000) (multiplicity 3)
Li (0.0000, 0.0000, 0.2394) (multiplicity 6)
Ho (0.0000, 0.0000, 0.5000) (multiplicity 3)
Au (0.0000, 0.0000, 0.1178) (multiplicity 6)
Au (0.0000, 0.0000, 0.4036) (multiplicity 6)

Calculated values
- Calculated volume: 23.26 A^3/atom
- E: -3.60 eV/atom
- ΔE_f: -668 meV/atom
- D(E_F): 15.1 states/eV/cell

---

Which value of ΔE_f does entry 4 give?
-294 meV/atom

---

D(E_F) of number 4 (BaZnHg2Au)?
2.4 states/eV/cell

---

Which of these has the highest ΔE_f?
number 3